## AlInI3 (PBE)

Data for a relaxed structure of AlInI3.

Calculated values
Final energy in eV per cell: -26.17
D(E_F) in states/eV per atom: 0.41
Energy relative to the elements, uncorrected in eV per atom: -0.39
Energy relative to the lowest polymorph listed for this composition in eV/atom: 0.000
Spin magnetization in μB per formula unit: 0.00

a = 4.336 Å, b = 9.750 Å, c = 11.822 Å
α = 66.08°, β = 79.91°, γ = 77.80°
Space group P1 (No. 1)
One atom of each set of equivalent atoms:
Al 0.000 0.000 0.000
Al 0.414 0.138 0.043
In 0.443 0.797 0.326
In 0.972 0.414 0.647
I 0.088 0.053 0.762
I 0.088 0.708 0.109
I 0.289 0.205 0.237
I 0.371 0.415 0.856
I 0.564 0.403 0.467
I 0.854 0.756 0.554